Record 1
# Y2BeNi | Alexandria | PBE-GGA | optimized geometry
data_Y2BeNi
_cell_length_a 3.9191
_cell_length_b 3.9191
_cell_length_c 5.7460
_cell_angle_alpha 90.00
_cell_angle_beta 90.00
_cell_angle_gamma 90.00
_space_group_name_H-M_alt 'P 4 m m'
_space_group_IT_number 99
_space_group_name_Hall 'P 4 -2'
loop_
_atom_site_label
_atom_site_fract_x
_atom_site_fract_y
_atom_site_fract_z
Y1 0.0000 0.0000 0.0000
Y2 0.5000 0.5000 0.4143
Be1 0.0000 0.0000 0.5180
Ni1 0.5000 0.5000 0.9135
# VASP energy: -21.9 eV/cell
# volume: 22.1 Å³ per atom
# density of states at the Fermi level: 3.433 states/eV/cell



Record 2
# PuAlZn3Au | Alexandria | PBE-GGA | optimized geometry
data_PuAlZn3Au
_cell_length_a 6.2237
_cell_length_b 13.2053
_cell_length_c 5.7247
_cell_angle_alpha 90.00
_cell_angle_beta 90.00
_cell_angle_gamma 90.00
_space_group_name_H-M_alt 'C m c m'
_space_group_IT_number 63
_space_group_name_Hall '-C 2c 2'
loop_
_atom_site_label
_atom_site_fract_x
_atom_site_fract_y
_atom_site_fract_z
Pu1 0.0000 0.2047 0.2500
Al1 0.0000 0.4231 0.2500
Zn1 0.0000 0.3706 0.7500
Zn2 0.1969 0.0000 0.0000
Au1 0.0000 0.1644 0.7500
# VASP energy: -100.9 eV/cell
# volume: 19.6 Å³ per atom
# density of states at the Fermi level: 55.192 states/eV/cell



Record 3
# Tl2HgTeH | Alexandria | PBE-GGA | optimized geometry
data_Tl2HgTeH
_cell_length_a 5.5235
_cell_length_b 5.5235
_cell_length_c 4.2597
_cell_angle_alpha 90.00
_cell_angle_beta 90.00
_cell_angle_gamma 90.00
_space_group_name_H-M_alt 'P 4/m m m'
_space_group_IT_number 123
_space_group_name_Hall '-P 4 2'
loop_
_atom_site_label
_atom_site_fract_x
_atom_site_fract_y
_atom_site_fract_z
Tl1 0.0000 0.5000 0.0000
Hg1 0.0000 0.0000 0.5000
Te1 0.5000 0.5000 0.5000
H1 0.0000 0.0000 0.0000
# VASP energy: -11.3 eV/cell
# volume: 26.0 Å³ per atom
# density of states at the Fermi level: 1.831 states/eV/cell



Record 4
# Be2ZnP | Alexandria | PBE-GGA | optimized geometry
data_Be2ZnP
_cell_length_a 3.2956
_cell_length_b 3.9161
_cell_length_c 7.1206
_cell_angle_alpha 90.00
_cell_angle_beta 90.00
_cell_angle_gamma 90.00
_space_group_name_H-M_alt 'C m m m'
_space_group_IT_number 65
_space_group_name_Hall '-C 2 2'
loop_
_atom_site_label
_atom_site_fract_x
_atom_site_fract_y
_atom_site_fract_z
Be1 0.0000 0.0000 0.2481
Zn1 0.0000 0.5000 0.5000
P1 0.0000 0.5000 0.0000
# VASP energy: -25.0 eV/cell
# volume: 11.5 Å³ per atom
# polymorph energy (0 for the lowest one): 0.176 eV per atom
# density of states at the Fermi level: 2.527 states/eV/cell